# 1
{"formula": "Tb3Ce2Pm6Dy", "functional": "GGA-PBE", "state": "optimized geometry", "formation_enthalpy_0k_ev_per_atom": 0.05, "mass_density_g_cm3": 7.5, "vol_a3_per_atom": 32.9, "e_tot_ev_per_atom": -4.85, "lattice": [[6.234, -0.001, -0.002], [-3.117, 5.399, -0.002], [-1.040, -1.801, 11.735]], "species": ["Pm", "Pm", "Pm", "Pm", "Pm", "Pm", "Tb", "Tb", "Tb", "Ce", "Ce", "Dy"], "frac_coords": [[0.419, 0.084, 0.249], [0.252, 0.252, 0.751], [0.916, 0.581, 0.751], [0.581, 0.916, 0.751], [0.748, 0.748, 0.249], [0.084, 0.419, 0.249], [0.500, 0.500, 0.500], [0.166, 0.834, 0.500], [0.834, 0.166, 0.500], [0.667, 0.333, 0.000], [0.333, 0.667, 0.000], [0.000, 0.000, 0.000]]}

***

# 2
{"formula": "Tb6CePm2Dy3", "functional": "GGA-PBE", "state": "optimized geometry", "formation_enthalpy_0k_ev_per_atom": 0.04, "mass_density_g_cm3": 8.0, "vol_a3_per_atom": 32.2, "e_tot_ev_per_atom": -4.72, "lattice": [[-1.565, 2.143, 5.588], [1.389, -5.983, -0.740], [11.248, 3.601, 0.628]], "species": ["Tb", "Tb", "Tb", "Tb", "Tb", "Tb", "Ce", "Dy", "Dy", "Dy", "Pm", "Pm"], "frac_coords": [[0.247, 0.247, 0.748], [0.753, 0.753, 0.252], [0.084, 0.415, 0.252], [0.916, 0.585, 0.748], [0.585, 0.916, 0.748], [0.415, 0.084, 0.252], [0.000, 0.000, 0.000], [0.500, 0.500, 0.500], [0.833, 0.167, 0.500], [0.167, 0.833, 0.500], [0.666, 0.334, 0.000], [0.334, 0.666, 0.000]]}

***

# 3
{"formula": "Tb2CePm6Dy3", "functional": "GGA-PBE", "state": "optimized geometry", "formation_enthalpy_0k_ev_per_atom": 0.04, "mass_density_g_cm3": 7.6, "vol_a3_per_atom": 33.0, "e_tot_ev_per_atom": -4.76, "lattice": [[6.247, -0.001, 0.017], [-3.123, 5.410, 0.017], [-1.075, -1.861, 11.709]], "species": ["Pm", "Pm", "Pm", "Pm", "Pm", "Pm", "Dy", "Dy", "Dy", "Ce", "Tb", "Tb"], "frac_coords": [[0.414, 0.083, 0.250], [0.248, 0.248, 0.750], [0.917, 0.586, 0.750], [0.752, 0.752, 0.250], [0.586, 0.917, 0.750], [0.083, 0.414, 0.250], [0.833, 0.167, 0.500], [0.500, 0.500, 0.500], [0.167, 0.833, 0.500], [0.000, 0.000, 0.000], [0.334, 0.666, 0.000], [0.666, 0.334, 0.000]]}

***

# 4
{"formula": "Tb2CePm3Dy6", "functional": "GGA-PBE", "state": "optimized geometry", "formation_enthalpy_0k_ev_per_atom": 0.03, "mass_density_g_cm3": 8.0, "vol_a3_per_atom": 32.2, "e_tot_ev_per_atom": -4.72, "lattice": [[-3.531, -2.801, 4.250], [5.171, -2.745, -2.027], [5.519, 7.031, 7.714]], "species": ["Dy", "Dy", "Dy", "Dy", "Dy", "Dy", "Pm", "Pm", "Pm", "Tb", "Tb", "Ce"], "frac_coords": [[0.414, 0.083, 0.247], [0.083, 0.414, 0.247], [0.249, 0.249, 0.752], [0.586, 0.917, 0.753], [0.917, 0.586, 0.753], [0.751, 0.751, 0.248], [0.167, 0.833, 0.500], [0.833, 0.167, 0.500], [0.500, 0.500, 0.500], [0.333, 0.667, 0.000], [0.667, 0.333, 0.000], [0.000, 0.000, 0.000]]}

***

# 5
{"formula": "CePmDyTc", "functional": "GGA-PBE", "state": "optimized geometry", "formation_enthalpy_0k_ev_per_atom": 0.10, "mass_density_g_cm3": 7.9, "vol_a3_per_atom": 28.5, "e_tot_ev_per_atom": -6.31, "lattice": [[-0.028, 2.740, -3.492], [0.489, -4.369, -0.610], [-6.781, -1.044, 2.054]], "species": ["Pm", "Ce", "Dy", "Tc"], "frac_coords": [[0.949, 0.839, 0.788], [0.837, 0.283, 0.120], [0.374, 0.052, 0.425], [0.532, 0.631, 0.163]]}

***

# 6
{"formula": "Ce2PmDyTe5", "functional": "GGA-PBE", "state": "optimized geometry", "mass_density_g_cm3": 5.7, "vol_a3_per_atom": 39.7, "e_tot_ev_per_atom": -4.94, "formation_energy_uncorrected_ev_per_fu": -7.57, "lattice": [[-2.686, -1.049, -4.705], [-2.447, -4.344, 2.366], [-8.837, 6.889, 3.509]], "species": ["Te", "Te", "Te", "Te", "Te", "Dy", "Ce", "Ce", "Pm"], "frac_coords": [[0.000, 0.000, 0.752], [0.000, 0.000, 0.248], [0.000, 0.500, 0.500], [0.500, 0.000, 0.500], [0.500, 0.500, 0.000], [0.000, 0.000, 0.500], [0.500, 0.500, 0.676], [0.500, 0.500, 0.324], [0.000, 0.000, 0.000]]}

***

# 7
{"formula": "CePm2DyTe5", "functional": "GGA-PBE", "state": "optimized geometry", "mass_density_g_cm3": 5.6, "vol_a3_per_atom": 40.6, "e_tot_ev_per_atom": -4.77, "formation_energy_uncorrected_ev_per_fu": -7.19, "lattice": [[-0.176, -5.514, 0.543], [4.410, -0.468, -3.325], [7.198, 0.701, 9.450]], "species": ["Pm", "Pm", "Te", "Te", "Te", "Te", "Te", "Dy", "Ce"], "frac_coords": [[0.500, 0.500, 0.653], [0.500, 0.500, 0.347], [0.000, 0.000, 0.252], [0.000, 0.500, 0.500], [0.000, 0.000, 0.748], [0.500, 0.000, 0.500], [0.500, 0.500, 0.000], [0.000, 0.000, 0.500], [0.000, 0.000, 0.000]]}

***

# 8
{"formula": "Ce3Pm3DyTe8", "functional": "GGA-PBE", "state": "optimized geometry", "mass_density_g_cm3": 6.7, "vol_a3_per_atom": 33.5, "e_tot_ev_per_atom": -5.54, "formation_energy_uncorrected_ev_per_fu": -21.29, "lattice": [[8.899, 0.000, 0.000], [-4.450, 7.707, -0.027], [0.000, -5.113, 7.348]], "species": ["Te", "Te", "Te", "Te", "Te", "Te", "Te", "Te", "Pm", "Pm", "Pm", "Ce", "Ce", "Ce", "Dy"], "frac_coords": [[0.251, 0.501, 0.252], [0.749, 0.499, 0.748], [0.750, 0.002, 0.252], [0.749, 0.998, 0.748], [0.251, 0.002, 0.252], [0.250, 0.499, 0.748], [0.750, 0.501, 0.252], [0.250, 0.998, 0.748], [0.500, 0.500, 0.500], [0.000, 0.500, 0.500], [0.500, 0.000, 0.500], [0.000, 0.000, 0.000], [0.000, 0.500, 0.000], [0.500, 0.500, 0.000], [0.000, 0.000, 0.500]]}

***

# 9
{"formula": "Ce3Pm2DyTe6", "functional": "GGA-PBE", "state": "optimized geometry", "mass_density_g_cm3": 7.2, "vol_a3_per_atom": 31.4, "e_tot_ev_per_atom": -5.61, "formation_energy_uncorrected_ev_per_fu": -16.51, "lattice": [[7.692, -0.006, -0.001], [-3.849, 6.660, -0.001], [-1.283, -2.221, 7.348]], "species": ["Te", "Te", "Te", "Te", "Te", "Te", "Pm", "Pm", "Ce", "Ce", "Ce", "Dy"], "frac_coords": [[0.408, 0.081, 0.243], [0.244, 0.244, 0.753], [0.756, 0.756, 0.247], [0.919, 0.592, 0.757], [0.592, 0.919, 0.757], [0.081, 0.408, 0.243], [0.334, 0.666, 0.000], [0.666, 0.334, 0.000], [0.830, 0.170, 0.500], [0.500, 0.500, 0.500], [0.170, 0.830, 0.500], [0.000, 0.000, 0.000]]}

***

# 10
{"formula": "Ce2PmDy3Te6", "functional": "GGA-PBE", "state": "optimized geometry", "mass_density_g_cm3": 7.6, "vol_a3_per_atom": 30.5, "e_tot_ev_per_atom": -5.45, "formation_energy_uncorrected_ev_per_fu": -16.09, "lattice": [[-3.351, 2.543, -1.213], [-3.888, -7.001, -3.936], [-1.706, -1.405, 9.670]], "species": ["Te", "Te", "Te", "Te", "Te", "Te", "Pm", "Dy", "Dy", "Dy", "Ce", "Ce"], "frac_coords": [[0.664, 0.590, 0.328], [0.331, 0.923, 0.662], [0.002, 0.745, 0.004], [0.669, 0.077, 0.338], [0.336, 0.410, 0.672], [0.998, 0.255, 0.996], [0.500, 0.000, 0.000], [0.500, 0.500, 0.000], [0.834, 0.167, 0.668], [0.166, 0.833, 0.332], [0.833, 0.666, 0.666], [0.167, 0.334, 0.334]]}

***

# 11
{"formula": "CePm3Dy3Te8", "functional": "GGA-PBE", "state": "optimized geometry", "mass_density_g_cm3": 7.2, "vol_a3_per_atom": 32.2, "e_tot_ev_per_atom": -5.33, "formation_energy_uncorrected_ev_per_fu": -20.86, "lattice": [[8.810, 0.000, 0.000], [-4.405, 7.623, -0.022], [0.000, -5.053, 7.197]], "species": ["Te", "Te", "Te", "Te", "Te", "Te", "Te", "Te", "Dy", "Dy", "Dy", "Pm", "Pm", "Pm", "Ce"], "frac_coords": [[0.741, 0.006, 0.247], [0.265, 0.006, 0.247], [0.747, 0.494, 0.741], [0.259, 0.994, 0.753], [0.253, 0.506, 0.259], [0.259, 0.519, 0.753], [0.735, 0.994, 0.753], [0.741, 0.481, 0.247], [0.000, 0.500, 0.500], [0.500, 0.000, 0.500], [0.500, 0.500, 0.500], [0.000, 0.000, 0.000], [0.000, 0.500, 0.000], [0.500, 0.500, 0.000], [0.000, 0.000, 0.500]]}

***

# 12
{"formula": "Ce3PmDy2Te6", "functional": "GGA-PBE", "state": "optimized geometry", "mass_density_g_cm3": 7.4, "vol_a3_per_atom": 31.0, "e_tot_ev_per_atom": -5.57, "formation_energy_uncorrected_ev_per_fu": -16.27, "lattice": [[-0.391, -6.862, -3.354], [5.059, 1.246, 5.599], [-6.523, -0.267, 4.212]], "species": ["Te", "Te", "Te", "Te", "Te", "Te", "Pm", "Ce", "Ce", "Ce", "Dy", "Dy"], "frac_coords": [[0.740, 0.740, 0.239], [0.260, 0.260, 0.761], [0.081, 0.421, 0.243], [0.421, 0.081, 0.243], [0.579, 0.919, 0.757], [0.919, 0.579, 0.757], [0.000, 0.000, 0.000], [0.500, 0.500, 0.500], [0.837, 0.163, 0.500], [0.163, 0.837, 0.500], [0.668, 0.332, 0.000], [0.332, 0.668, 0.000]]}